# Ag4AuCl GGA-PBE relaxed
data_Ag4AuCl
_symmetry_space_group_name_H-M 'P 1'
_symmetry_Int_Tables_number 1
_cell_length_a 5.558
_cell_length_b 5.558
_cell_length_c 5.558
_cell_angle_alpha 60.00
_cell_angle_beta 60.00
_cell_angle_gamma 60.00
loop_
_symmetry_equiv_pos_as_xyz
'x,y,z'
loop_
_atom_site_label
_atom_site_type_symbol
_atom_site_fract_x
_atom_site_fract_y
_atom_site_fract_z
Au1 Au 0.750 0.750 0.750
Ag1 Ag 0.376 0.873 0.376
Ag2 Ag 0.873 0.376 0.376
Ag3 Ag 0.376 0.376 0.873
Ag4 Ag 0.376 0.376 0.376
Cl1 Cl 0.000 0.000 0.000
# E: -0.184 Ry per atom
# space-group type: No. 216

---

# AgAuCl5 GGA-PBE relaxed
data_AgAuCl5
_symmetry_space_group_name_H-M 'P 1'
_symmetry_Int_Tables_number 1
_cell_length_a 7.879
_cell_length_b 7.880
_cell_length_c 8.912
_cell_angle_alpha 113.99
_cell_angle_beta 114.00
_cell_angle_gamma 102.28
loop_
_symmetry_equiv_pos_as_xyz
'x,y,z'
loop_
_atom_site_label
_atom_site_type_symbol
_atom_site_fract_x
_atom_site_fract_y
_atom_site_fract_z
Cl1 Cl 0.876 0.944 0.237
Cl2 Cl 0.583 0.917 0.750
Cl3 Cl 0.444 0.376 0.737
Cl4 Cl 0.147 0.676 0.247
Cl5 Cl 0.853 0.324 0.753
Cl6 Cl 0.556 0.624 0.263
Cl7 Cl 0.824 0.353 0.253
Cl8 Cl 0.124 0.056 0.763
Cl9 Cl 0.176 0.647 0.747
Cl10 Cl 0.417 0.083 0.250
Ag1 Ag 0.500 0.000 0.500
Ag2 Ag 0.500 0.000 0.000
Au1 Au 0.847 0.653 0.250
Au2 Au 0.153 0.347 0.750
# E: -0.181 Ry per atom
# space-group type: No. 15

---

# Ag2AuCl8 GGA-PBE relaxed
data_Ag2AuCl8
_symmetry_space_group_name_H-M 'P 1'
_symmetry_Int_Tables_number 1
_cell_length_a 6.742
_cell_length_b 7.863
_cell_length_c 7.863
_cell_angle_alpha 54.24
_cell_angle_beta 90.12
_cell_angle_gamma 90.12
loop_
_symmetry_equiv_pos_as_xyz
'x,y,z'
loop_
_atom_site_label
_atom_site_type_symbol
_atom_site_fract_x
_atom_site_fract_y
_atom_site_fract_z
Cl1 Cl 0.204 0.858 0.858
Cl2 Cl 0.509 0.338 0.338
Cl3 Cl 0.793 0.692 0.158
Cl4 Cl 0.207 0.842 0.308
Cl5 Cl 0.796 0.142 0.142
Cl6 Cl 0.491 0.662 0.662
Cl7 Cl 0.207 0.308 0.842
Cl8 Cl 0.793 0.158 0.692
Au1 Au 0.000 0.000 0.000
Ag1 Ag 0.577 0.828 0.828
Ag2 Ag 0.423 0.172 0.172
# E: -0.169 Ry per atom
# space-group type: No. 12

---

# AgAuCl2 GGA-PBE relaxed
data_AgAuCl2
_symmetry_space_group_name_H-M 'P 1'
_symmetry_Int_Tables_number 1
_cell_length_a 5.993
_cell_length_b 4.424
_cell_length_c 4.434
_cell_angle_alpha 60.55
_cell_angle_beta 90.00
_cell_angle_gamma 90.00
loop_
_symmetry_equiv_pos_as_xyz
'x,y,z'
loop_
_atom_site_label
_atom_site_type_symbol
_atom_site_fract_x
_atom_site_fract_y
_atom_site_fract_z
Ag1 Ag 0.000 0.615 0.611
Cl1 Cl 0.000 0.950 0.948
Cl2 Cl 0.500 0.266 0.268
Au1 Au 0.500 0.669 0.672
# E: -0.196 Ry per atom
# space-group type: No. 6

---

# AgAuCl2 GGA-PBE relaxed
data_AgAuCl2
_symmetry_space_group_name_H-M 'P 1'
_symmetry_Int_Tables_number 1
_cell_length_a 7.477
_cell_length_b 7.477
_cell_length_c 7.477
_cell_angle_alpha 31.12
_cell_angle_beta 31.12
_cell_angle_gamma 31.12
loop_
_symmetry_equiv_pos_as_xyz
'x,y,z'
loop_
_atom_site_label
_atom_site_type_symbol
_atom_site_fract_x
_atom_site_fract_y
_atom_site_fract_z
Cl1 Cl 0.218 0.218 0.218
Cl2 Cl 0.032 0.032 0.032
Au1 Au 0.752 0.752 0.752
Ag1 Ag 0.497 0.497 0.497
# E: -0.193 Ry per atom
# space-group type: No. 160

---

# Ag4AuCl6 GGA-PBE relaxed
data_Ag4AuCl6
_symmetry_space_group_name_H-M 'P 1'
_symmetry_Int_Tables_number 1
_cell_length_a 8.027
_cell_length_b 6.950
_cell_length_c 12.882
_cell_angle_alpha 67.23
_cell_angle_beta 71.85
_cell_angle_gamma 54.73
loop_
_symmetry_equiv_pos_as_xyz
'x,y,z'
loop_
_atom_site_label
_atom_site_type_symbol
_atom_site_fract_x
_atom_site_fract_y
_atom_site_fract_z
Cl1 Cl 0.562 0.612 0.764
Cl2 Cl 0.334 0.254 0.696
Cl3 Cl 0.051 0.461 0.480
Cl4 Cl 0.412 0.495 0.169
Cl5 Cl 0.924 0.995 0.669
Cl6 Cl 0.008 0.961 0.980
Cl7 Cl 0.355 0.217 0.973
Cl8 Cl 0.798 0.603 0.964
Cl9 Cl 0.455 0.717 0.473
Cl10 Cl 0.716 0.754 0.196
Cl11 Cl 0.062 0.112 0.264
Cl12 Cl 0.634 0.103 0.464
Ag1 Ag 0.712 0.128 0.859
Ag2 Ag 0.114 0.485 0.126
Ag3 Ag 0.276 0.985 0.626
Ag4 Ag 0.807 0.199 0.147
Ag5 Ag 0.300 0.628 0.359
Ag6 Ag 0.850 0.309 0.443
Ag7 Ag 0.847 0.699 0.647
Ag8 Ag 0.398 0.809 0.943
Au1 Au 0.075 0.422 0.833
Au2 Au 0.670 0.922 0.333
# E: -0.197 Ry per atom
# space-group type: No. 9

---

# Ag6AuCl12 GGA-PBE relaxed
data_Ag6AuCl12
_symmetry_space_group_name_H-M 'P 1'
_symmetry_Int_Tables_number 1
_cell_length_a 8.003
_cell_length_b 8.003
_cell_length_c 8.003
_cell_angle_alpha 88.82
_cell_angle_beta 88.82
_cell_angle_gamma 88.82
loop_
_symmetry_equiv_pos_as_xyz
'x,y,z'
loop_
_atom_site_label
_atom_site_type_symbol
_atom_site_fract_x
_atom_site_fract_y
_atom_site_fract_z
Cl1 Cl 0.450 0.604 0.821
Cl2 Cl 0.007 0.001 0.689
Cl3 Cl 0.689 0.007 0.001
Cl4 Cl 0.993 0.999 0.311
Cl5 Cl 0.604 0.821 0.450
Cl6 Cl 0.396 0.179 0.550
Cl7 Cl 0.179 0.550 0.396
Cl8 Cl 0.001 0.689 0.007
Cl9 Cl 0.550 0.396 0.179
Cl10 Cl 0.311 0.993 0.999
Cl11 Cl 0.821 0.450 0.604
Cl12 Cl 0.999 0.311 0.993
Ag1 Ag 0.292 0.579 0.100
Ag2 Ag 0.421 0.900 0.708
Ag3 Ag 0.579 0.100 0.292
Ag4 Ag 0.100 0.292 0.579
Ag5 Ag 0.900 0.708 0.421
Ag6 Ag 0.708 0.421 0.900
Au1 Au 0.000 0.000 0.000
# E: -0.189 Ry per atom
# space-group type: No. 148

---

# Ag2AuCl5 GGA-PBE relaxed
data_Ag2AuCl5
_symmetry_space_group_name_H-M 'P 1'
_symmetry_Int_Tables_number 1
_cell_length_a 7.888
_cell_length_b 11.995
_cell_length_c 9.605
_cell_angle_alpha 90.00
_cell_angle_beta 84.29
_cell_angle_gamma 90.00
loop_
_symmetry_equiv_pos_as_xyz
'x,y,z'
loop_
_atom_site_label
_atom_site_type_symbol
_atom_site_fract_x
_atom_site_fract_y
_atom_site_fract_z
Cl1 Cl 0.762 0.537 0.434
Cl2 Cl 0.738 0.037 0.566
Cl3 Cl 0.338 0.603 0.268
Cl4 Cl 0.501 0.370 0.123
Cl5 Cl 0.238 0.463 0.566
Cl6 Cl 0.999 0.870 0.877
Cl7 Cl 0.662 0.397 0.732
Cl8 Cl 0.047 0.367 0.915
Cl9 Cl 0.838 0.897 0.268
Cl10 Cl 0.076 0.738 0.579
Cl11 Cl 0.547 0.133 0.915
Cl12 Cl 0.953 0.633 0.085
Cl13 Cl 0.162 0.103 0.732
Cl14 Cl 0.001 0.130 0.123
Cl15 Cl 0.924 0.262 0.421
Cl16 Cl 0.262 0.963 0.434
Cl17 Cl 0.453 0.867 0.085
Cl18 Cl 0.424 0.238 0.421
Cl19 Cl 0.576 0.762 0.579
Cl20 Cl 0.499 0.630 0.877
Ag1 Ag 0.225 0.538 0.956
Ag2 Ag 0.499 0.188 0.667
Ag3 Ag 0.725 0.962 0.956
Ag4 Ag 0.999 0.312 0.667
Ag5 Ag 0.775 0.462 0.044
Ag6 Ag 0.275 0.038 0.044
Ag7 Ag 0.501 0.812 0.333
Ag8 Ag 0.001 0.688 0.333
Au1 Au 0.878 0.080 0.347
Au2 Au 0.622 0.580 0.653
Au3 Au 0.378 0.420 0.347
Au4 Au 0.122 0.920 0.653
# E: -0.194 Ry per atom
# space-group type: No. 14

---

# AgAuCl2 GGA-PBE relaxed
data_AgAuCl2
_symmetry_space_group_name_H-M 'P 1'
_symmetry_Int_Tables_number 1
_cell_length_a 3.807
_cell_length_b 3.783
_cell_length_c 6.454
_cell_angle_alpha 90.63
_cell_angle_beta 90.00
_cell_angle_gamma 90.00
loop_
_symmetry_equiv_pos_as_xyz
'x,y,z'
loop_
_atom_site_label
_atom_site_type_symbol
_atom_site_fract_x
_atom_site_fract_y
_atom_site_fract_z
Au1 Au 0.500 0.750 0.750
Cl1 Cl 0.000 0.971 0.001
Cl2 Cl 0.000 0.529 0.499
Ag1 Ag 0.500 0.250 0.250
# E: -0.186 Ry per atom
# space-group type: No. 10

---

# Ag2Au2Cl GGA-PBE relaxed
data_Ag2Au2Cl
_symmetry_space_group_name_H-M 'P 1'
_symmetry_Int_Tables_number 1
_cell_length_a 3.835
_cell_length_b 3.835
_cell_length_c 7.745
_cell_angle_alpha 75.67
_cell_angle_beta 75.67
_cell_angle_gamma 90.00
loop_
_symmetry_equiv_pos_as_xyz
'x,y,z'
loop_
_atom_site_label
_atom_site_type_symbol
_atom_site_fract_x
_atom_site_fract_y
_atom_site_fract_z
Ag1 Ag 0.401 0.401 0.199
Ag2 Ag 0.599 0.599 0.801
Au1 Au 0.750 0.250 0.500
Au2 Au 0.250 0.750 0.500
Cl1 Cl 0.000 0.000 0.000
# E: -0.208 Ry per atom
# space-group type: No. 139

---

# AgAuCl6 GGA-PBE relaxed
data_AgAuCl6
_symmetry_space_group_name_H-M 'P 1'
_symmetry_Int_Tables_number 1
_cell_length_a 6.476
_cell_length_b 6.477
_cell_length_c 6.791
_cell_angle_alpha 61.53
_cell_angle_beta 61.54
_cell_angle_gamma 60.00
loop_
_symmetry_equiv_pos_as_xyz
'x,y,z'
loop_
_atom_site_label
_atom_site_type_symbol
_atom_site_fract_x
_atom_site_fract_y
_atom_site_fract_z
Cl1 Cl 0.903 0.622 0.244
Cl2 Cl 0.231 0.903 0.244
Cl3 Cl 0.622 0.231 0.244
Cl4 Cl 0.097 0.378 0.756
Cl5 Cl 0.769 0.097 0.756
Cl6 Cl 0.378 0.769 0.756
Au1 Au 0.000 0.000 0.000
Ag1 Ag 0.500 0.500 0.500
# E: -0.169 Ry per atom
# space-group type: No. 148

---

Number 1: magnetization 0.0 μB per formula unit. Number 2: magnetization 0.0 μB per formula unit. Number 3: magnetization 0.0 μB per formula unit. Number 4: magnetization 0.0 μB per formula unit. Number 5: magnetization 0.0 μB per formula unit. Number 6: magnetization 0.0 μB per formula unit. Number 7: magnetization 0.0 μB per formula unit. Number 8: magnetization 0.0 μB per formula unit. Number 9: magnetization 0.0 μB per formula unit. Number 10: magnetization 0.0 μB per formula unit. Number 11: magnetization 0.0 μB per formula unit.